CoTe2Cl | meta-GGA SCAN | single point on PBEsol structure

Cell lengths 3.0769, 3.0769, 9.5249 Å; angles 90.00, 90.00, 90.00 degrees
Last column: nearest neighbours and their distance in Å.
Space group P4mm (No. 99)
Asymmetric unit:
Co (0.0000, 0.0000, 0.0000) [1 per cell]  4 Te 2.57, 4 Cl 2.68
Te (0.0000, 0.0000, 0.4866) [1 per cell]  4 Te 3.08
Te (0.5000, 0.5000, 0.1444) [1 per cell]  4 Co 2.57
Cl (0.5000, 0.5000, 0.8363) [1 per cell]  4 Co 2.68, 1 Te 2.93

Computed properties:
* density of states at the Fermi level: 0.396 states/eV per atom
* energy above the most stable polymorph in this dataset: 410 meV per atom
* energy relative to the elements, uncorrected: 0.15 eV per atom
* V: 22.54 A^3/atom